(1)
Ac12In6N: relaxed, PBE.

Unit cell a=13.1896 b=13.1896 c=14.5317 alpha=90.00 beta=90.00 gamma=120.00
Closest atoms and distances in Å follow each position.
Space group R-3 (No. 148, hexagonal axes)
Symmetry-distinct sites (fractional):
Ac 0.0354 0.1918 0.3839  4 In 3.36-3.54
Ac 0.0346 0.8530 0.8911  1 N 2.71
In 0.0031 0.3956 0.2506  8 Ac 3.36-3.69
N 0.0000 0.0000 0.0000  6 Ac 2.71

Summary:
electronic total energy	-79.96	eV/f.u.

=====

(2)
MgTePb2: relaxed, PBE.

Unit cell a=3.3254 b=3.3254 c=10.5752 alpha=90.00 beta=90.00 gamma=90.00
Closest atoms and distances in Å follow each position.
Space group P4/mmm (No. 123)
Symmetry-distinct sites (fractional):
Mg 0.0000 0.0000 0.0000  8 Pb 3.28, 4 Mg 3.33
Te 0.0000 0.0000 0.5000  4 Te 3.33
Pb 0.5000 0.5000 0.2169  4 Mg 3.28, 4 Pb 3.33

Summary:
energy above the most stable polymorph in this dataset	0.2145	eV per atom

=====

(3)
TaCoHgPb2: relaxed, PBE.

Unit cell a=5.0157 b=5.0157 c=4.7436 alpha=90.00 beta=90.00 gamma=90.00
Closest atoms and distances in Å follow each position.
Space group P4/mmm (No. 123)
Symmetry-distinct sites (fractional):
Ta 0.0000 0.0000 0.0000  2 Co 2.37
Co 0.0000 0.0000 0.5000  2 Ta 2.37, 4 Pb 2.51
Hg 0.5000 0.5000 0.0000  8 Pb 3.45, 4 Ta 3.55
Pb 0.0000 0.5000 0.5000  2 Co 2.51

Summary:
energy of formation	0.684	eV/atom

=====

(4)
GaAg2O: relaxed, PBE.

Unit cell a=7.0220 b=7.0220 c=5.2277 alpha=90.00 beta=90.00 gamma=90.00
Closest atoms and distances in Å follow each position.
Space group I-42d (No. 122)
Symmetry-distinct sites (fractional):
Ga 0.0000 0.0000 0.0000  2 O 2.61, 4 Ag 2.86
Ag 0.1930 0.2500 0.6250  2 O 2.31
O 0.0000 0.0000 0.5000  4 Ag 2.31

Summary:
energy above the most stable polymorph in this dataset	0.0000	eV per atom

=====

(5)
MgTlIn2: relaxed, PBE.

Unit cell a=4.5613 b=4.5613 c=10.0172 alpha=90.00 beta=90.00 gamma=90.00
Closest atoms and distances in Å follow each position.
Space group I4/mmm (No. 139)
Symmetry-distinct sites (fractional):
Mg 0.0000 0.0000 0.0000  4 Tl 3.23, 8 In 3.39
Tl 0.0000 0.0000 0.5000  4 Mg 3.23, 8 In 3.39
In 0.0000 0.5000 0.2500  4 In 3.23, 4 Tl 3.39, 4 Mg 3.39

Summary:
energy of formation	-0.005	eV/atom

=====

(6)
YEr2F11: relaxed, PBE.

Unit cell a=8.2868 b=10.1594 c=11.0981 alpha=90.00 beta=90.00 gamma=90.00
Closest atoms and distances in Å follow each position.
Space group Ibam (No. 72)
Symmetry-distinct sites (fractional):
Y 0.0000 0.0000 0.2500  8 F 2.28-2.29
Er 0.1582 0.3109 0.0000  7 F 2.17-2.33
F 0.0000 0.5000 0.0000  2 F 2.19, 2 Er 2.33
F 0.1027 0.1716 0.1424  1 Er 2.17, 1 Y 2.28
F 0.1098 0.3042 0.5000  1 F 2.19, 2 Er 2.22-2.25
F 0.2083 0.0764 0.3667  1 Er 2.17, 1 Y 2.29

Summary:
electronic total energy	-84.59	eV/f.u.

=====

(7)
TaTl2Br: relaxed, PBE.

Unit cell a=6.8588 b=8.6649 c=3.1803 alpha=90.00 beta=90.00 gamma=90.00
Closest atoms and distances in Å follow each position.
Space group Cmmm (No. 65)
Symmetry-distinct sites (fractional):
Ta 0.0000 0.0000 0.0000  2 Ta 3.18, 8 Tl 3.19, 2 Br 3.43
Tl 0.2500 0.2500 0.5000  4 Tl 3.18-3.43, 4 Ta 3.19, 4 Br 3.19
Br 0.0000 0.5000 0.0000  2 Br 3.18, 8 Tl 3.19, 2 Ta 3.43

Summary:
energy above the most stable polymorph in this dataset	0.3743	eV per atom

=====

(8)
Tl2Bi2Te: relaxed, PBE.

Unit cell a=4.4001 b=4.4001 c=18.7450 alpha=90.00 beta=90.00 gamma=90.00
Closest atoms and distances in Å follow each position.
Space group I4/mmm (No. 139)
Symmetry-distinct sites (fractional):
Tl 0.0000 0.0000 0.0895  1 Tl 3.36, 4 Te 3.54, 4 Bi 3.73
Bi 0.0000 0.5000 0.2500  4 Bi 3.11
Te 0.0000 0.0000 0.5000  8 Tl 3.54

Summary:
energy above the most stable polymorph in this dataset	0.0327	eV per atom

=====

(9)
AlRhBr2: relaxed, PBE.

Unit cell a=3.4565 b=3.4565 c=7.7144 alpha=90.00 beta=90.00 gamma=90.00
Closest atoms and distances in Å follow each position.
Space group P4mm (No. 99)
Symmetry-distinct sites (fractional):
Al 0.0000 0.0000 0.0000  1 Br 2.53, 4 Rh 2.54
Rh 0.5000 0.5000 0.9105  1 Br 2.52, 4 Al 2.54
Br 0.0000 0.0000 0.6718  1 Al 2.53
Br 0.5000 0.5000 0.2370  1 Rh 2.52

Summary:
energy above the most stable polymorph in this dataset	0.0603	eV per atom

=====

(10)
Ba4CuTc3O12: relaxed, PBE.

Unit cell a=8.1577 b=8.1577 c=8.1577 alpha=90.00 beta=90.00 gamma=90.00
Closest atoms and distances in Å follow each position.
Space group Im-3m (No. 229)
Symmetry-distinct sites (fractional):
Ba 0.2500 0.2500 0.2500  12 O 2.88-2.89
Cu 0.0000 0.0000 0.0000  6 O 2.16
Tc 0.0000 0.0000 0.5000  6 O 1.92-2.04
O 0.0000 0.0000 0.2649  1 Tc 1.92
O 0.0000 0.2500 0.5000  2 Tc 2.04

Summary:
electronic total energy	-141.04	eV/f.u.

=====

(11)
BaRh2Cl: relaxed, PBE.

Unit cell a=7.0481 b=7.0481 c=7.0481 alpha=90.00 beta=90.00 gamma=90.00
Closest atoms and distances in Å follow each position.
Space group F-43m (No. 216)
Symmetry-distinct sites (fractional):
Ba 0.0000 0.0000 0.0000  4 Rh 3.05, 4 Cl 3.05
Rh 0.0000 0.0000 0.5000  4 Cl 3.05, 4 Rh 3.05
Rh 0.2500 0.2500 0.7500  4 Rh 3.05, 4 Ba 3.05
Cl 0.2500 0.2500 0.2500  4 Ba 3.05, 4 Rh 3.05

Summary:
energy above the most stable polymorph in this dataset	0.4309	eV per atom

=====

(12)
K3Pa3TiN8: relaxed, PBE.

Unit cell a=12.0207 b=6.9466 c=7.6079 alpha=90.00 beta=121.87 gamma=90.00
Closest atoms and distances in Å follow each position.
Space group C2/m (No. 12)
Symmetry-distinct sites (fractional):
K 0.0000 0.0000 0.0000  6 N 2.94-2.97
K 0.2500 0.2500 0.0000  6 N 2.94-2.97
Pa 0.0000 0.5000 0.5000  6 N 2.27-2.29
Pa 0.2500 0.2500 0.5000  6 N 2.28
Ti 0.0000 0.0000 0.5000  6 N 2.15
N 0.0282 0.2375 0.3464  1 Ti 2.15, 2 Pa 2.28-2.29
N 0.2100 0.0000 0.6539  1 Ti 2.15, 2 Pa 2.28
N 0.2221 0.5000 0.6669  3 Pa 2.27-2.28

Summary:
electronic total energy	-120.89	eV/f.u.

=====

Number 1: mass density 7.80 g/cm3, volume 2189.3 Å³/cell. Number 2: mass density 8.04 g/cm3, volume 116.9 Å³/cell. Number 3: mass density 11.90 g/cm3, volume 119.3 Å³/cell. Number 4: mass density 7.77 g/cm3, volume 257.8 Å³/cell. Number 5: mass density 7.30 g/cm3, volume 208.4 Å³/cell. Number 6: mass density 4.50 g/cm3, volume 934.3 Å³/cell. Number 7: mass density 11.77 g/cm3, volume 189.0 Å³/cell. Number 8: mass density 8.73 g/cm3, volume 362.9 Å³/cell. Number 9: mass density 5.22 g/cm3, volume 92.2 Å³/cell. Number 10: mass density 6.72 g/cm3, volume 542.9 Å³/cell. Number 11: mass density 7.18 g/cm3, volume 350.1 Å³/cell. Number 12: mass density 5.97 g/cm3, volume 539.5 Å³/cell.